DFT (GGA-PBEsol) results for an optimized crystal structure of Sr2Ca6Mn5Fe3O24.

Cell and atoms, written as CIF:
```
data_Sr2Ca6Mn5Fe3O24
_cell_length_a 7.4763
_cell_length_b 7.4938
_cell_length_c 7.4938
_cell_angle_alpha 89.84
_cell_angle_beta 90.00
_cell_angle_gamma 90.00
_symmetry_space_group_name_H-M 'P 1'
_symmetry_Int_Tables_number 1
_symmetry_space_group_name_Hall 'P 1'
loop_
_atom_site_label
_atom_site_fract_x
_atom_site_fract_y
_atom_site_fract_z
_atom_site_occupancy
Sr1 0.2500 0.0000 0.0000 1
Sr2 0.7500 0.0000 0.0000 1
Ca1 0.2493 0.4972 0.9935 1
Ca2 0.2493 0.9935 0.4972 1
Ca3 0.2504 0.4959 0.4959 1
Ca4 0.7496 0.4959 0.4959 1
Ca5 0.7507 0.4972 0.9935 1
Ca6 0.7507 0.9935 0.4972 1
Mn1 0.0000 0.2483 0.2483 1
Mn2 0.0000 0.2492 0.7443 1
Mn3 0.0000 0.7443 0.2492 1
Mn4 0.0000 0.7462 0.7462 1
Mn5 0.5000 0.2493 0.2493 1
Fe1 0.5000 0.2515 0.7464 1
Fe2 0.5000 0.7464 0.2515 1
Fe3 0.5000 0.7483 0.7483 1
O1 0.0000 0.0046 0.7511 1
O2 0.0000 0.0055 0.2642 1
O3 0.0000 0.2642 0.0055 1
O4 0.0000 0.2666 0.5048 1
O5 0.0000 0.5040 0.7624 1
O6 0.0000 0.5048 0.2666 1
O7 0.0000 0.7511 0.0046 1
O8 0.0000 0.7624 0.5040 1
O9 0.2501 0.2598 0.2598 1
O10 0.2510 0.2588 0.7540 1
O11 0.2511 0.7497 0.7497 1
O12 0.2510 0.7540 0.2588 1
O13 0.5000 0.0011 0.2583 1
O14 0.5000 0.0019 0.7457 1
O15 0.5000 0.2556 0.5033 1
O16 0.5000 0.2583 0.0011 1
O17 0.5000 0.5017 0.7503 1
O18 0.5000 0.5033 0.2556 1
O19 0.5000 0.7457 0.0019 1
O20 0.5000 0.7503 0.5017 1
O21 0.7490 0.2588 0.7540 1
O22 0.7489 0.7497 0.7497 1
O23 0.7490 0.7540 0.2588 1
O24 0.7499 0.2598 0.2598 1
```

Space-group type: Amm2, No. 38
Formation energy (no corrections), eV per formula unit: -86.4

---

DFT (GGA-PBEsol) results for an optimized crystal structure of InCuAu.

Cell and atoms, written as CIF:
```
data_InCuAu
_cell_length_a 4.8998
_cell_length_b 4.8998
_cell_length_c 4.8998
_cell_angle_alpha 139.13
_cell_angle_beta 139.13
_cell_angle_gamma 59.18
_symmetry_space_group_name_H-M 'P 1'
_symmetry_Int_Tables_number 1
_symmetry_space_group_name_Hall 'P 1'
loop_
_atom_site_label
_atom_site_fract_x
_atom_site_fract_y
_atom_site_fract_z
_atom_site_occupancy
In1 0.0000 0.0000 0.0000 1
Cu1 0.6681 0.6681 0.0000 1
Au1 0.3229 0.3229 0.0000 1
```

Formation energy from the elements, kcal/mol of atoms: -1.57
Space-group type: I4mm, No. 107

---

DFT (GGA-PBEsol) results for an optimized crystal structure of TaCo2Rh.

Cell and atoms, written as CIF:
```
data_TaCo2Rh
_cell_length_a 8.5568
_cell_length_b 8.5568
_cell_length_c 8.5568
_cell_angle_alpha 18.12
_cell_angle_beta 18.12
_cell_angle_gamma 18.12
_symmetry_space_group_name_H-M 'P 1'
_symmetry_Int_Tables_number 1
_symmetry_space_group_name_Hall 'P 1'
loop_
_atom_site_label
_atom_site_fract_x
_atom_site_fract_y
_atom_site_fract_z
_atom_site_occupancy
Ta1 0.0000 0.0000 0.0000 1
Co1 0.4939 0.4939 0.4939 1
Co2 0.7547 0.7547 0.7547 1
Rh1 0.2438 0.2438 0.2438 1
```

Formation energy from the elements, kcal/mol of atoms: 2.82
Space-group type: R3m, No. 160

---

DFT (GGA-PBEsol) results for an optimized crystal structure of Na2CrNiF7.

Cell and atoms, written as CIF:
```
data_Na2CrNiF7
_cell_length_a 7.2182
_cell_length_b 7.2182
_cell_length_c 7.2182
_cell_angle_alpha 120.86
_cell_angle_beta 90.49
_cell_angle_gamma 118.58
_symmetry_space_group_name_H-M 'P 1'
_symmetry_Int_Tables_number 1
_symmetry_space_group_name_Hall 'P 1'
loop_
_atom_site_label
_atom_site_fract_x
_atom_site_fract_y
_atom_site_fract_z
_atom_site_occupancy
Na1 0.0000 0.0000 0.0000 1
Na2 0.5000 0.0000 0.0000 1
Na3 0.5000 0.0000 0.5000 1
Na4 0.5000 0.5000 0.5000 1
Cr1 0.0000 0.5000 0.5000 1
Cr2 0.5000 0.5000 0.0000 1
Ni1 0.0000 0.0000 0.5000 1
Ni2 0.0000 0.5000 0.0000 1
F1 0.0530 0.2369 0.4157 1
F2 0.0530 0.6372 0.8161 1
F3 0.1086 0.8586 0.2500 1
F4 0.3197 0.7282 0.5915 1
F5 0.3212 0.2369 0.6839 1
F6 0.3212 0.6372 0.0843 1
F7 0.3633 0.2718 0.0915 1
F8 0.6367 0.7282 0.9085 1
F9 0.6788 0.3628 0.9157 1
F10 0.6788 0.7631 0.3161 1
F11 0.6803 0.2718 0.4085 1
F12 0.8914 0.1414 0.7500 1
F13 0.9470 0.3628 0.1839 1
F14 0.9470 0.7631 0.5843 1
```

Space-group type: Imma, No. 74
Formation energy (no corrections), eV per formula unit: -26.8

---

DFT (GGA-PBEsol) results for an optimized crystal structure of Li2FeCu.

Cell and atoms, written as CIF:
```
data_Li2FeCu
_cell_length_a 4.4700
_cell_length_b 2.4482
_cell_length_c 4.6622
_cell_angle_alpha 90.00
_cell_angle_beta 109.00
_cell_angle_gamma 90.00
_symmetry_space_group_name_H-M 'P 1'
_symmetry_Int_Tables_number 1
_symmetry_space_group_name_Hall 'P 1'
loop_
_atom_site_label
_atom_site_fract_x
_atom_site_fract_y
_atom_site_fract_z
_atom_site_occupancy
Li1 0.0000 0.0000 0.0000 1
Li2 0.5000 0.5000 0.0000 1
Fe1 0.0000 0.5000 0.5000 1
Cu1 0.5000 0.0000 0.5000 1
```

Formation energy from the elements, kcal/mol of atoms: 5.14
Space-group type: P2/m, No. 10

---

DFT (GGA-PBEsol) results for an optimized crystal structure of Be4CrRe.

Cell and atoms, written as CIF:
```
data_Be4CrRe
_cell_length_a 4.2557
_cell_length_b 4.2557
_cell_length_c 4.2557
_cell_angle_alpha 60.00
_cell_angle_beta 60.00
_cell_angle_gamma 60.00
_symmetry_space_group_name_H-M 'P 1'
_symmetry_Int_Tables_number 1
_symmetry_space_group_name_Hall 'P 1'
loop_
_atom_site_label
_atom_site_fract_x
_atom_site_fract_y
_atom_site_fract_z
_atom_site_occupancy
Be1 0.1248 0.1248 0.1248 1
Be2 0.1248 0.1248 0.6257 1
Be3 0.1248 0.6257 0.1248 1
Be4 0.6257 0.1248 0.1248 1
Cr1 0.5000 0.5000 0.5000 1
Re1 0.7500 0.7500 0.7500 1
```

Formation energy from the elements, kcal/mol of atoms: -7.57
Space-group type: F-43m, No. 216